Entry from the Alexandria database: crystalline PuPa2Ga9 at its relaxed geometry (PBE).

Crystal system: tetragonal
E_form: -0.376 eV per atom
Space group: P4/mmm, No. 123
DOS(E_F): 1.46 states/eV per atom

abc: 4.2992 4.2992 12.8433
angles: 90.00 90.00 90.00
With the nearest neighbours (Å) after each atom.
Positions (direct):
Pu 0.0000 0.0000 0.0000  12 Ga 3.01-3.04
Pa 0.0000 0.0000 0.3326  12 Ga 3.04-3.05
Pa 0.0000 0.0000 0.6674  12 Ga 3.04-3.05
Ga 0.0000 0.5000 0.1640  8 Ga 3.01-3.05, 2 Pu 3.01, 2 Pa 3.05
Ga 0.0000 0.5000 0.5000  8 Ga 3.04, 4 Pa 3.04
Ga 0.0000 0.5000 0.8360  2 Pu 3.01, 8 Ga 3.01-3.05, 2 Pa 3.05
Ga 0.5000 0.0000 0.1640  8 Ga 3.01-3.05, 2 Pu 3.01, 2 Pa 3.05
Ga 0.5000 0.0000 0.5000  8 Ga 3.04, 4 Pa 3.04
Ga 0.5000 0.0000 0.8360  2 Pu 3.01, 8 Ga 3.01-3.05, 2 Pa 3.05
Ga 0.5000 0.5000 0.0000  8 Ga 3.01, 4 Pu 3.04
Ga 0.5000 0.5000 0.3327  8 Ga 3.04-3.05, 4 Pa 3.04
Ga 0.5000 0.5000 0.6673  8 Ga 3.04-3.05, 4 Pa 3.04